Compound: KCoAg2
Source: the Alexandria database
Functional: GGA-PBE
Structure: optimized geometry

Its distance to the lowest polymorph of the same formula is 174.3 meV/atom. The density of states at the Fermi level is 13.61 states/eV per cell.

The structure belongs to space group R-3m (No. 166, hexagonal axes); the cell edges are 3.0320, 3.0320 and 29.9083 Å and the angles 90.00°, 90.00° and 120.00°. The inequivalent atoms are K at (0.0000, 0.0000, 0.0000), Co at (0.0000, 0.0000, 0.5000) and Ag at (0.0000, 0.0000, 0.2355).